ScCr2Rh | PBE | optimized geometry

Relative energy among the computed polymorphs in meV per atom: 314.1
Size of the total moment in μB per atom: 0.07
Calculated formation energy in eV/f.u.: 0.64

abc: 2.8952 2.8952 24.4598
angles: 90.00 90.00 120.00
Space group R3m (No. 160, hexagonal axes)
Inequivalent atoms, fractional coordinates:
Sc (0.0000, 0.0000, 0.0000)
Cr (0.0000, 0.0000, 0.4925)
Cr (0.0000, 0.0000, 0.7617)
Rh (0.0000, 0.0000, 0.2428)